[1]
A relaxed structure of LaSb2Se. Source: Alexandria via LeMat-Bulk, functional GGA-PBE.

The structure in POSCAR format:
```
LaSb2Se
1.0
-6.6472 -4.1137 0.2483
-3.3816 -6.6479 2.3535
-5.4469 -3.1733 4.6293
La Sb Se
1 2 1
Direct
0.7555 0.7555 0.7555 La
0.9924 0.9924 0.9924 Sb
0.2724 0.2724 0.2724 Sb
0.4797 0.4797 0.4797 Se
```

Results
ΔE_f (raw) = -771 meV/atom
V = 136.9 Å³/cell
Magnetic moment = 0.00 μB/cell
Crystal system = trigonal

---

[2]
A relaxed structure of La5Sb4Se. Source: Alexandria via LeMat-Bulk, functional GGA-PBE.

The structure in POSCAR format:
```
La5Sb4Se
1.0
4.5747 0.0000 0.0000
0.0000 4.5747 0.0000
-2.2873 -2.2873 16.1361
La Sb Se
5 4 1
Direct
0.0980 0.0980 0.1960 La
0.5000 0.5000 0.0000 La
0.9020 0.9020 0.8040 La
0.2998 0.2998 0.5997 La
0.7002 0.7002 0.4003 La
0.4017 0.4017 0.8034 Sb
0.8014 0.8014 0.6028 Sb
0.1986 0.1986 0.3972 Sb
0.5983 0.5983 0.1966 Sb
0.0000 0.0000 0.0000 Se
```

Results
ΔE_f (raw) = -1421 meV/atom
V = 337.7 Å³/cell
Magnetic moment = 0.00 μB/cell
Crystal system = tetragonal

---

[3]
A relaxed structure of LaSb2Se. Source: Alexandria via LeMat-Bulk, functional GGA-PBE.

The structure in POSCAR format:
```
LaSb2Se
1.0
-3.5567 -1.7029 -0.1466
0.1976 -0.7459 3.8699
-3.2671 6.6983 1.4578
La Sb Se
1 2 1
Direct
0.5000 0.5000 0.7059 La
0.0000 0.0000 0.0382 Sb
0.5000 0.5000 0.1997 Sb
0.0000 0.0000 0.5562 Se
```

Results
ΔE_f (raw) = -839 meV/atom
V = 118.2 Å³/cell
Magnetic moment = 0.00 μB/cell
Crystal system = tetragonal

---

[4]
A relaxed structure of LaSb2Se. Source: Alexandria via LeMat-Bulk, functional GGA-PBE.

The structure in POSCAR format:
```
LaSb2Se
1.0
4.4631 0.0000 0.0000
0.0000 4.2827 0.0278
0.0000 1.9511 6.0768
La Sb Se
1 2 1
Direct
0.5000 0.9345 0.6838 La
0.0000 0.8346 0.1032 Sb
0.5000 0.2657 0.1276 Sb
0.0000 0.4651 0.5854 Se
```

Results
ΔE_f (raw) = -925 meV/atom
V = 115.9 Å³/cell
Magnetic moment = 0.00 μB/cell
Crystal system = monoclinic

---

[5]
A relaxed structure of La5Sb4Se. Source: Alexandria via LeMat-Bulk, functional GGA-PBE.

The structure in POSCAR format:
```
La5Sb4Se
1.0
-1.1543 2.8152 -3.4087
-3.1612 -4.8309 -2.9194
-7.3737 3.8672 8.7533
La Sb Se
5 4 1
Direct
0.5969 0.0969 0.1938 La
0.7991 0.2991 0.5981 La
0.2009 0.7009 0.4019 La
0.0000 0.5000 0.0000 La
0.4031 0.9031 0.8062 La
0.4008 0.4008 0.8017 Sb
0.8030 0.8030 0.6059 Sb
0.1970 0.1970 0.3941 Sb
0.5992 0.5992 0.1983 Sb
0.0000 0.0000 0.0000 Se
```

Results
ΔE_f (raw) = -1429 meV/atom
V = 337.4 Å³/cell
Magnetic moment = 0.00 μB/cell
Crystal system = orthorhombic

---

[6]
A relaxed structure of LaSb2Se. Source: Alexandria via LeMat-Bulk, functional GGA-PBE.

The structure in POSCAR format:
```
LaSb2Se
1.0
-2.7493 4.6210 2.9279
-2.6107 -1.3628 5.3677
5.4487 -0.9451 -2.6275
La Sb Se
1 2 1
Direct
0.7500 0.2500 0.5000 La
0.0000 0.0000 0.0000 Sb
0.2500 0.7500 0.5000 Sb
0.5000 0.5000 0.0000 Se
```

Results
ΔE_f (raw) = -644 meV/atom
V = 108.6 Å³/cell
Magnetic moment = 0.00 μB/cell
Crystal system = tetragonal

---

[7]
A relaxed structure of LaSb2Se. Source: Alexandria via LeMat-Bulk, functional GGA-PBE.

The structure in POSCAR format:
```
LaSb2Se
1.0
-4.1341 -3.5164 2.1923
-1.3090 -3.8856 -4.1774
4.7467 1.6771 2.9864
La Sb Se
1 2 1
Direct
0.7515 0.2515 0.5000 La
0.0317 0.0317 0.0000 Sb
0.2450 0.7450 0.5000 Sb
0.4718 0.4718 0.0000 Se
```

Results
ΔE_f (raw) = -723 meV/atom
V = 110.6 Å³/cell
Magnetic moment = 0.00 μB/cell
Crystal system = orthorhombic

---

[8]
A relaxed structure of La6SbSe5. Source: Alexandria via LeMat-Bulk, functional GGA-PBE.

The structure in POSCAR format:
```
La6SbSe5
1.0
7.4876 0.1804 1.1364
1.8381 6.3386 3.6955
0.1263 0.0666 7.5638
Sb Se La
1 5 6
Direct
0.0000 0.0000 0.0000 Sb
0.5000 0.1627 0.6747 Se
0.0000 0.3326 0.3348 Se
0.5000 0.5000 0.0000 Se
0.0000 0.6674 0.6652 Se
0.5000 0.8373 0.3253 Se
0.7430 0.0858 0.3409 La
0.2570 0.5733 0.3409 La
0.2543 0.2567 0.0000 La
0.7457 0.7433 0.0000 La
0.7430 0.4267 0.6591 La
0.2570 0.9142 0.6591 La
```

Results
ΔE_f (raw) = -1879 meV/atom
V = 353.9 Å³/cell
Magnetic moment = 0.00 μB/cell
Crystal system = monoclinic

---

[9]
A relaxed structure of La6SbSe4. Source: Alexandria via LeMat-Bulk, functional GGA-PBE.

The structure in POSCAR format:
```
La6SbSe4
1.0
4.3277 0.0000 0.0000
-2.1639 7.0807 0.0000
0.0000 0.0000 21.8596
La Sb Se
12 2 8
Direct
0.5000 0.0000 0.0000 La
0.5000 0.0000 0.5000 La
0.0514 0.1027 0.3362 La
0.9486 0.8973 0.6638 La
0.9486 0.8973 0.8362 La
0.0514 0.1027 0.1638 La
0.7716 0.5433 0.4096 La
0.2284 0.4567 0.5904 La
0.2284 0.4567 0.9096 La
0.7716 0.5433 0.0904 La
0.3390 0.6780 0.2500 La
0.6610 0.3220 0.7500 La
0.6703 0.3406 0.2500 Sb
0.3297 0.6594 0.7500 Sb
0.8596 0.7192 0.5383 Se
0.4127 0.8254 0.1241 Se
0.1404 0.2808 0.4617 Se
0.5873 0.1746 0.8759 Se
0.8596 0.7192 0.9617 Se
0.1404 0.2808 0.0383 Se
0.5873 0.1746 0.6241 Se
0.4127 0.8254 0.3759 Se
```

Results
ΔE_f (raw) = -1660 meV/atom
V = 669.8 Å³/cell
Magnetic moment = 0.86 μB/cell
Crystal system = orthorhombic

---

[10]
A relaxed structure of La4SiSbSe2. Source: Alexandria via LeMat-Bulk, functional GGA-PBE.

The structure in POSCAR format:
```
La4SiSbSe2
1.0
-1.5399 4.1559 -0.0419
-1.8623 -0.7642 -7.3605
-7.2136 -2.6785 -0.5673
La Si Sb Se
4 1 1 2
Direct
0.0000 0.7505 0.7388 La
0.0000 0.2495 0.2612 La
0.5000 0.7442 0.2614 La
0.5000 0.2558 0.7386 La
0.0000 0.5000 0.5000 Si
0.5000 0.5000 0.0000 Sb
0.0000 0.0000 0.0000 Se
0.5000 0.0000 0.5000 Se
```

Results
ΔE_f (raw) = -1506 meV/atom
V = 246.0 Å³/cell
Magnetic moment = 0.00 μB/cell
Crystal system = monoclinic

---

[11]
A relaxed structure of LaSmSbSe. Source: Alexandria via LeMat-Bulk, functional GGA-PBE.

The structure in POSCAR format:
```
LaSmSbSe
1.0
4.4395 0.0000 0.0000
0.0000 4.4306 0.2668
0.0000 -0.3712 6.1814
La Sm Sb Se
1 1 1 1
Direct
0.5000 0.3914 0.0927 La
0.0000 0.8917 0.5922 Sm
0.0000 0.8914 0.0922 Sb
0.5000 0.3916 0.5926 Se
```

Results
ΔE_f (raw) = -1528 meV/atom
V = 122.0 Å³/cell
Magnetic moment = 0.00 μB/cell
Crystal system = tetragonal

---

[12]
A relaxed structure of La6SbTe2Se3. Source: Alexandria via LeMat-Bulk, functional GGA-PBE.

The structure in POSCAR format:
```
La6SbTe2Se3
1.0
4.4367 0.0000 0.0000
0.0000 8.9481 0.2986
-2.2184 -2.6022 9.3686
La Sb Te Se
6 1 2 3
Direct
0.3304 0.9325 0.6607 La
0.6604 0.5972 0.3208 La
0.6696 0.0675 0.3393 La
0.9951 0.2574 0.9903 La
0.0049 0.7426 0.0097 La
0.3396 0.4028 0.6792 La
0.5000 0.0000 0.0000 Sb
0.8324 0.6657 0.6648 Te
0.1676 0.3343 0.3352 Te
0.5000 0.5000 0.0000 Se
0.8330 0.1674 0.6659 Se
0.1670 0.8326 0.3341 Se
```

Results
ΔE_f (raw) = -1752 meV/atom
V = 375.4 Å³/cell
Magnetic moment = 0.00 μB/cell
Crystal system = monoclinic